# ZrTaCoCu

ZrTaCoCu after structural relaxation (PBE-GGA, the Alexandria database).

Cell lengths 6.3322, 6.3322, 6.3322 Å; angles 90.00, 90.00, 90.00 degrees
Space group F-43m (No. 216)
Inequivalent atoms, fractional coordinates:
Zr: 0.0000 0.0000 0.0000 (multiplicity 4)
Ta: 0.0000 0.0000 0.5000 (multiplicity 4)
Co: 0.2500 0.2500 0.2500 (multiplicity 4)
Cu: 0.2500 0.2500 0.7500 (multiplicity 4)

Values from the calculation:
- E_tot (eV/atom) = -7.93
- energy relative to the elements (eV/atom) = -0.026